# 1
MgMnTc2 | GGA-PBEsol | relaxed

Cell and atoms, written as POSCAR:
```
MgMnTc2
1.0
0.0000 3.0103 3.0103
3.0103 0.0000 3.0103
3.0103 3.0103 0.0000
Mg Mn Tc
1 1 2
direct
0.0000 0.0000 0.0000
0.2500 0.2500 0.2500
0.5000 0.5000 0.5000
0.7500 0.7500 0.7500
```

Summary:
D(E_F) in states/eV per atom: 0.88
Space group: F-43m, No. 216
E_form in meV per atom: 300



# 2
MgMnTc2 | GGA-PBEsol | relaxed

Cell and atoms, written as POSCAR:
```
MgMnTc2
1.0
3.6615 0.0000 0.0000
0.0000 3.6615 0.0000
0.0000 0.0000 4.2386
Mg Mn Tc
1 1 2
direct
0.0000 0.0000 0.0000
0.5000 0.5000 0.0000
0.0000 0.5000 0.5000
0.5000 0.0000 0.5000
```

Summary:
D(E_F) in states/eV per atom: 0.79
Space group: P4/mmm, No. 123
E_form in meV per atom: 361



# 3
MgMnTc2 | GGA-PBEsol | relaxed

Cell and atoms, written as POSCAR:
```
MgMnTc2
1.0
2.6853 0.0000 0.0000
0.0000 2.6853 0.0000
0.0000 0.0000 7.7364
Mg Mn Tc
1 1 2
direct
0.0000 0.0000 0.0000
0.0000 0.0000 0.5000
0.5000 0.5000 0.2848
0.5000 0.5000 0.7152
```

Summary:
D(E_F) in states/eV per atom: 0.96
Space group: P4/mmm, No. 123
E_form in meV per atom: 238



# 4
MgMnTc2 | GGA-PBEsol | relaxed

Cell and atoms, written as POSCAR:
```
MgMnTc2
1.0
2.9437 0.0000 0.0000
0.0000 2.9437 0.0000
0.0000 0.0000 6.4503
Mg Mn Tc
1 1 2
direct
0.0000 0.0000 0.0000
0.5000 0.5000 0.2702
0.0000 0.0000 0.4636
0.5000 0.5000 0.7151
```

Summary:
D(E_F) in states/eV per atom: 1.06
Space group: P4mm, No. 99
E_form in meV per atom: 259